An optimized crystal structure of AlReNiPd. Source: OQMD via LeMat-Bulk, functional GGA-PBE.

## Properties
Symmetry   F-43m, No. 216
Uncorrected energy   -6.68 eV/atom

Cell and atoms, written as extended XYZ:
```
4
Lattice="-1.762 -1.391 3.659 0.999 1.895 3.720 -2.914 2.410 2.031" Properties=species:S:1:pos:R:3 pbc="T T T"
Al 0.000 0.000 0.000
Ni -2.758 2.186 7.057
Pd -0.919 0.729 2.352
Re -1.839 1.457 4.705
```


An optimized crystal structure of MgPaSn. Source: OQMD via LeMat-Bulk, functional GGA-PBE.

## Properties
Symmetry   F-43m, No. 216
Uncorrected energy   -4.47 eV/atom

Cell and atoms, written as extended XYZ:
```
3
Lattice="1.794 -4.631 1.211 -1.610 -2.332 4.254 -3.051 -4.088 -0.325" Properties=species:S:1:pos:R:3 pbc="T T T"
Mg -0.717 -2.763 1.285
Pa 0.000 0.000 0.000
Sn -2.151 -8.288 3.855
```


An optimized crystal structure of MgCuSn2P4. Source: OQMD via LeMat-Bulk, functional GGA-PBE.

## Properties
Symmetry   I-4, No. 82
Uncorrected energy   -4.49 eV/atom

Cell and atoms, written as extended XYZ:
```
8
Lattice="-2.866 2.866 5.709 2.866 -2.866 5.709 2.866 2.866 -5.709" Properties=species:S:1:pos:R:3 pbc="T T T"
Cu 0.000 0.000 0.000
Mg 0.000 2.866 2.854
P -1.540 1.545 4.374
P 1.321 1.326 1.335
P 1.545 1.540 7.044
P 4.406 1.321 -1.335
Sn 0.000 0.000 5.709
Sn 2.866 0.000 2.854
```


An optimized crystal structure of BeHg2Ir. Source: OQMD via LeMat-Bulk, functional GGA-PBE.

## Properties
Symmetry   F-43m, No. 216
Uncorrected energy   -2.73 eV/atom

Cell and atoms, written as extended XYZ:
```
4
Lattice="0.000 3.226 3.226 3.226 0.000 3.226 3.226 3.226 0.000" Properties=species:S:1:pos:R:3 pbc="T T T"
Be 3.226 3.226 3.226
Hg 0.000 0.000 0.000
Hg 4.839 4.839 4.839
Ir 1.613 1.613 1.613
```


An optimized crystal structure of Na2Tm3Te4Cl3O12. Source: OQMD via LeMat-Bulk, functional GGA-PBE.

## Properties
Symmetry   C2/c, No. 15
Uncorrected energy   -5.94 eV/atom

Cell and atoms, written as extended XYZ:
```
48
Lattice="-5.440 -9.521 5.089 -6.302 -10.314 -0.234 15.721 3.461 -3.063" Properties=species:S:1:pos:R:3 pbc="T T T"
Cl -3.151 -5.157 -0.117
Cl -0.069 -4.176 2.013
Cl -3.386 -13.537 3.944
Cl 5.141 -3.030 1.013
Cl 7.365 -2.837 -2.151
Cl 4.048 -12.199 -0.220
Na -6.403 -12.729 4.450
Na 2.990 -4.945 1.769
Na 0.989 -11.429 0.025
Na 10.382 -3.645 -2.656
O -3.739 -7.982 1.703
O 0.201 -1.413 0.086
O -5.323 -11.039 2.256
O -9.150 -18.009 3.924
O -3.651 -10.863 -0.174
O -1.131 -7.589 1.695
O -2.633 -10.407 2.358
O -0.967 -7.919 -1.047
O 5.194 -0.164 -1.057
O 1.364 -7.137 0.591
O -4.111 -16.717 3.064
O -0.171 -10.149 1.448
O 4.150 -6.225 0.345
O 8.090 0.343 -1.270
O 2.615 -9.237 1.202
O -1.215 -16.210 2.851
O 4.946 -8.455 2.841
O 6.612 -5.967 -0.564
O 5.110 -8.785 0.099
O 7.630 -5.511 1.967
O 13.129 1.635 -2.131
O 9.302 -5.335 -0.462
O 3.778 -14.961 1.707
O 7.718 -8.392 0.090
Te -2.592 -6.704 2.551
Te -4.553 -12.132 0.916
Te 0.168 -6.435 -0.697
Te -0.939 -11.079 2.934
Te 4.918 -5.295 -1.141
Te 3.811 -9.939 2.491
Te 8.532 -4.242 0.877
Te 6.571 -9.670 -0.757
Tm -4.333 -9.434 3.513
Tm -2.155 -9.249 0.342
Tm 0.886 -8.271 2.495
Tm 3.093 -8.103 -0.701
Tm 6.134 -7.125 1.451
Tm 8.312 -6.940 -1.720
```


An optimized crystal structure of BaHg2Ir. Source: OQMD via LeMat-Bulk, functional GGA-PBE.

## Properties
Symmetry   F-43m, No. 216
Uncorrected energy   -2.61 eV/atom

Cell and atoms, written as extended XYZ:
```
4
Lattice="-4.114 -1.251 3.000 -3.277 3.746 1.650 -4.855 0.285 -1.958" Properties=species:S:1:pos:R:3 pbc="T T T"
Ba -6.123 1.390 1.346
Hg 0.000 0.000 0.000
Hg -9.185 2.085 2.019
Ir -3.062 0.695 0.673
```


An optimized crystal structure of HfThU. Source: OQMD via LeMat-Bulk, functional GGA-PBE.

## Properties
Excess energy over the best structure of this formula in the dataset   0.000 eV per atom
Symmetry   F-43m, No. 216
Calculated formation energy   1.05 eV/atom

Cell and atoms, written as extended XYZ:
```
3
Lattice="0.000 3.541 3.541 3.541 0.000 3.541 3.541 3.541 0.000" Properties=species:S:1:pos:R:3 pbc="T T T"
Hf 0.000 0.000 0.000
Th 1.771 1.771 1.771
U 5.312 5.312 5.312
```


An optimized crystal structure of LiPrBe. Source: OQMD via LeMat-Bulk, functional GGA-PBE.

## Properties
Excess energy over the best structure of this formula in the dataset   0.209 eV per atom
Symmetry   F-43m, No. 216

Cell and atoms, written as extended XYZ:
```
3
Lattice="0.000 3.331 3.331 3.331 0.000 3.331 3.331 3.331 0.000" Properties=species:S:1:pos:R:3 pbc="T T T"
Be 1.666 1.666 1.666
Li 4.997 4.997 4.997
Pr 0.000 0.000 0.000
```


An optimized crystal structure of K2Rb2HgAs2. Source: OQMD via LeMat-Bulk, functional GGA-PBE.

## Properties
Excess energy over the best structure of this formula in the dataset   0.004 eV per atom
Symmetry   R-3m, No. 166

Cell and atoms, written as extended XYZ:
```
7
Lattice="0.097 -9.949 -0.613 5.782 -8.079 -0.816 2.931 -8.431 4.438" Properties=species:S:1:pos:R:3 pbc="T T T"
As 0.795 -2.389 0.272
As 8.015 -24.070 2.738
Hg 0.000 0.000 0.000
K 1.831 -5.498 0.625
K 6.980 -20.961 2.384
Rb 3.419 -10.268 1.168
Rb 5.392 -16.191 1.841
```


An optimized crystal structure of Cs2Ho2SeS3. Source: OQMD via LeMat-Bulk, functional GGA-PBE.

## Properties
Symmetry   P3m1, No. 156
Uncorrected energy   -5.14 eV/atom

Cell and atoms, written as extended XYZ:
```
8
Lattice="4.119 0.000 0.000 -2.060 3.567 0.000 0.000 0.000 16.227" Properties=species:S:1:pos:R:3 pbc="T T T"
Cs 0.000 2.378 4.143
Cs 0.000 0.000 12.130
Ho 2.060 1.189 8.127
Ho 2.060 1.189 16.138
S 0.000 0.000 6.691
S 0.000 2.378 9.568
S 0.000 2.378 14.711
Se 0.000 0.000 1.515
```


An optimized crystal structure of GdMgZn. Source: OQMD via LeMat-Bulk, functional GGA-PBE.

## Properties
Symmetry   P1, No. 1
Uncorrected energy   -2.59 eV/atom

Cell and atoms, written as extended XYZ:
```
12
Lattice="6.039 -0.175 0.138 2.867 5.266 0.013 0.147 -0.115 8.677" Properties=species:S:1:pos:R:3 pbc="T T T"
Gd 5.435 1.374 2.007
Gd 2.418 3.440 3.383
Gd 5.889 1.797 5.270
Gd 7.536 3.690 8.394
Mg 4.297 4.256 0.817
Mg 2.556 -0.087 3.469
Mg 4.082 4.302 6.148
Mg 4.286 1.637 7.879
Zn 2.437 1.517 1.196
Zn 7.009 4.724 5.684
Zn 2.687 1.689 5.825
Zn 0.910 1.002 7.871
```


An optimized crystal structure of Tb2SmNi2B2N3. Source: OQMD via LeMat-Bulk, functional GGA-PBE.

## Properties
Symmetry   I4/mmm, No. 139
Uncorrected energy   -7.51 eV/atom

Cell and atoms, written as extended XYZ:
```
10
Lattice="10.181 -0.442 -2.200 10.006 -1.057 2.733 -10.268 -1.712 -0.579" Properties=species:S:1:pos:R:3 pbc="T T T"
B 3.853 -0.286 0.102
B 16.334 -1.212 0.431
N 2.406 -0.179 0.064
N 10.094 -0.749 0.266
N 17.781 -1.320 0.469
Ni 5.004 -1.452 -1.257
Ni 4.916 -1.759 1.210
Sm 0.000 0.000 0.000
Tb 7.585 -0.563 0.200
Tb 12.602 -0.935 0.333
```